NdSiC: relaxed, PBE-GGA.

* uncorrected formation energy: 0.22 eV per formula unit

a = 3.8259 Å, b = 3.8259 Å, c = 16.3871 Å
α = 90.00°, β = 90.00°, γ = 90.00°
With the nearest neighbours (Å) after each atom.
Space group I4/mmm (No. 139)
Asymmetric unit:
1 Nd 0.0000 0.0000 0.1707 [4 per cell]  5 C 2.46-2.71
2 Si 0.0000 0.0000 0.4308 [4 per cell]  1 C 1.80
3 C 0.0000 0.0000 0.3209 [4 per cell]  1 Si 1.80

=====

SrTa2BeAu: relaxed, PBE-GGA.

* ΔE_f: 14.58 eV per formula unit

a = 4.9999 Å, b = 4.9999 Å, c = 5.2035 Å
α = 90.00°, β = 90.00°, γ = 90.00°
With the nearest neighbours (Å) after each atom.
Space group P4/mmm (No. 123)
Asymmetric unit:
1 Sr 0.0000 0.0000 0.0000 [1 per cell]  4 Ta 2.50, 2 Au 2.60
2 Ta 0.0000 0.5000 0.0000 [2 per cell]  2 Sr 2.50
3 Be 0.5000 0.5000 0.5000 [1 per cell]  4 Au 3.54, 8 Ta 3.61
4 Au 0.0000 0.0000 0.5000 [1 per cell]  2 Sr 2.60

=====

AlCuGe: relaxed, PBE-GGA.

* ΔE_f: 0.07 eV per formula unit

a = 5.7013 Å, b = 5.7187 Å, c = 6.5093 Å
α = 90.00°, β = 115.67°, γ = 90.00°
With the nearest neighbours (Å) after each atom.
Space group C2/m (No. 12)
Asymmetric unit:
1 Al 0.1377 0.0000 0.2782 [4 per cell]  1 Ge 2.54, 4 Cu 2.60
2 Cu 0.2500 0.2500 0.0000 [4 per cell]  4 Al 2.60, 4 Ge 2.63-2.64, 4 Cu 2.85-2.86
3 Ge 0.1435 0.5000 0.2890 [4 per cell]  1 Al 2.54, 4 Cu 2.63-2.64

=====

Cs2SbSe2: relaxed, PBE-GGA.

* relative energy among the computed polymorphs: 0.0 meV/atom
* uncorrected formation energy: -3.05 eV per formula unit

a = 8.0686 Å, b = 8.0686 Å, c = 5.6471 Å
α = 90.00°, β = 90.00°, γ = 90.00°
With the nearest neighbours (Å) after each atom.
Space group P4/mbm (No. 127)
Asymmetric unit:
1 Cs 0.1536 0.3464 0.0000 [4 per cell]  2 Se 3.43, 1 Cs 3.51
2 Sb 0.0000 0.0000 0.5000 [2 per cell]  4 Se 2.98
3 Se 0.1758 0.6758 0.5000 [4 per cell]  2 Sb 2.98

=====

| no. | E (eV per cell) | DOS(E_F) (states/eV/f.u.) |
| --- | --- | --- |
| 1 | -76.8 | 1.7 |
| 2 | -17.8 | 6.2 |
| 3 | -49.5 | 0.9 |
| 4 | -31.7 | 3.6 |